HfMn8Al3: optimized geometry, PBE.

E in eV for the cell shown: -96.8

The structure in CIF format:
```
data_HfMn8Al3
_chemical_formula_sum 'Hf1 Mn8 Al3'
_cell_length_a 4.7303
_cell_length_b 4.7303
_cell_length_c 7.8423
_cell_angle_alpha 90.00
_cell_angle_beta 90.00
_cell_angle_gamma 120.00
_symmetry_space_group_name_H-M 'P 3 m 1'
_symmetry_Int_Tables_number 156
loop_
_symmetry_equiv_pos_as_xyz
'x,y,z'
'-y,x-y,z'
'-x+y,-x,z'
'-y,-x,z'
'-x+y,y,z'
'x,x-y,z'
loop_
_atom_site_label
_atom_site_fract_x
_atom_site_fract_y
_atom_site_fract_z
Hf1 0.0000 0.0000 0.0000
Mn1 0.1592 0.3184 0.6794
Mn2 0.3333 0.6667 0.4315
Mn3 0.3333 0.6667 0.9304
Mn4 0.5080 0.0160 0.1902
Al1 0.0000 0.0000 0.3731
Al2 0.6667 0.3333 0.4993
Al3 0.6667 0.3333 0.8627
```